(1)
{
  "formula": "DyCuNi",
  "functional": "PBE",
  "state": "relaxed",
  "total_energy_ev_per_atom": -5.15,
  "crystal_system": "hexagonal",
  "lattice": [[3.5586, 0.0000, 0.0000], [0.0000, 4.1480, 0.0000], [0.0000, -2.0740, 3.5923]],
  "species": ["Dy", "Cu", "Ni"],
  "frac_coords": [[0.6667, 0.6667, 0.3333], [0.1668, 0.0000, 0.0000], [0.1665, 0.3333, 0.6667]]
}



(2)
{
  "formula": "Er2CoPb",
  "functional": "PBE",
  "state": "relaxed",
  "total_energy_ev_per_atom": -5.20,
  "crystal_system": "monoclinic",
  "lattice": [[-0.6547, 4.2879, -0.3952], [-6.3865, -0.7787, 2.1318], [5.2856, 1.9084, 11.9490]],
  "species": ["Pb", "Er", "Er", "Er", "Er", "Pb", "Co", "Pb", "Er", "Co", "Co", "Er", "Er", "Er", "Co", "Pb"],
  "frac_coords": [[0.2498, 0.2542, 0.3967], [0.2502, 0.5040, 0.7653], [0.7501, 0.2498, 0.9185], [0.7498, 0.0040, 0.2653], [0.2502, 0.9960, 0.7347], [0.2498, 0.2458, 0.1033], [0.7498, 0.4871, 0.4291], [0.7502, 0.7458, 0.6033], [0.7498, 0.4960, 0.2347], [0.7498, 0.0129, 0.0709], [0.2502, 0.9871, 0.9291], [0.2499, 0.7502, 0.0815], [0.2499, 0.7498, 0.4185], [0.7501, 0.2502, 0.5815], [0.2502, 0.5129, 0.5709], [0.7502, 0.7542, 0.8967]]
}



(3)
{
  "formula": "Tb3Ge4Pt7",
  "functional": "PBE",
  "state": "relaxed",
  "total_energy_ev_per_atom": -6.28,
  "crystal_system": "monoclinic",
  "lattice": [[-2.3738, 1.4799, -3.0010], [-7.3765, 0.6580, 3.3550], [-1.3621, 8.0626, 2.2490]],
  "species": ["Ge", "Tb", "Pt", "Ge", "Pt", "Pt", "Pt", "Pt", "Pt", "Ge", "Tb", "Ge", "Pt", "Tb"],
  "frac_coords": [[0.3317, 0.5677, 0.7690], [0.3285, 0.1756, 0.1673], [0.1665, 0.5909, 0.0762], [0.1110, 0.1035, 0.6745], [0.8335, 0.4091, 0.9238], [0.0000, 0.0000, 0.0000], [0.4898, 0.2460, 0.7744], [0.3070, 0.8493, 0.5367], [0.5102, 0.7540, 0.2256], [0.6683, 0.4323, 0.2310], [0.0000, 0.5000, 0.5000], [0.8890, 0.8965, 0.3255], [0.6930, 0.1507, 0.4633], [0.6715, 0.8244, 0.8327]]
}



(4)
{
  "formula": "YHoTlGe",
  "functional": "PBE",
  "state": "relaxed",
  "total_energy_ev_per_atom": -4.94,
  "crystal_system": "cubic",
  "lattice": [[-2.6532, 3.6675, 2.5952], [-5.1027, 0.6428, -0.8799], [-3.4698, -1.3778, 3.6451]],
  "species": ["Ge", "Ho", "Tl", "Y"],
  "frac_coords": [[0.0000, 0.0000, 0.0000], [0.7500, 0.7500, 0.7500], [0.5000, 0.5000, 0.5000], [0.2500, 0.2500, 0.2500]]
}



(5)
{
  "formula": "Ho2ReH",
  "functional": "PBE",
  "state": "relaxed",
  "total_energy_ev_per_atom": -5.69,
  "crystal_system": "trigonal",
  "lattice": [[-0.1291, 0.7342, 2.9434], [1.9698, -1.2263, 1.9585], [6.1520, 6.4753, 0.2208]],
  "species": ["Ho", "Ho", "Re", "H"],
  "frac_coords": [[0.1053, 0.1053, 0.6840], [0.8947, 0.8947, 0.3160], [0.0000, 0.0000, 0.0000], [0.5000, 0.5000, 0.5000]]
}



(6)
{
  "formula": "InPdO2F",
  "functional": "PBE",
  "state": "relaxed",
  "crystal_system": "tetragonal",
  "e_form_raw_ev_per_atom": -0.580,
  "lattice": [[-0.5558, 1.6381, -3.8413], [3.0700, -2.4666, -1.4961], [-2.7913, -2.9549, -0.8562]],
  "species": ["O", "Pd", "In", "O", "F"],
  "frac_coords": [[0.0000, 0.5000, 0.0000], [0.5000, 0.5000, 0.5000], [0.0000, 0.0000, 0.0000], [0.5000, 0.0000, 0.0000], [0.0000, 0.0000, 0.5000]]
}



(7)
{
  "formula": "Mg3Os",
  "functional": "PBE",
  "state": "relaxed",
  "total_energy_ev_per_atom": -3.89,
  "crystal_system": "orthorhombic",
  "lattice": [[4.6865, 0.0000, 0.0000], [0.0000, 5.1253, 0.0000], [0.0000, 0.0000, 5.7696]],
  "species": ["Mg", "Mg", "Mg", "Os", "Os", "Mg", "Mg", "Mg"],
  "frac_coords": [[0.5000, 0.6344, 0.0000], [0.0000, 0.8351, 0.7515], [0.5000, 0.1649, 0.7485], [0.0000, 0.3256, 0.0000], [0.5000, 0.6744, 0.5000], [0.5000, 0.1649, 0.2515], [0.0000, 0.8351, 0.2485], [0.0000, 0.3656, 0.5000]]
}



(8)
{
  "formula": "Ac4Sb2AsP",
  "functional": "PBE",
  "state": "relaxed",
  "crystal_system": "monoclinic",
  "e_form_raw_ev_per_atom": -1.325,
  "lattice": [[-0.7316, -3.3477, -3.1238], [4.3311, -5.0944, 4.4452], [-7.7548, -0.4105, 2.2562]],
  "species": ["Sb", "Ac", "Ac", "Sb", "P", "As", "Ac", "Ac"],
  "frac_coords": [[0.5000, 0.0000, 0.5000], [0.0000, 0.2525, 0.7660], [0.5000, 0.7586, 0.7676], [0.0000, 0.5000, 0.5000], [0.0000, 0.0000, 0.0000], [0.5000, 0.5000, 0.0000], [0.0000, 0.7475, 0.2340], [0.5000, 0.2414, 0.2324]]
}



no.,DOS at the Fermi energy (states/eV/f.u.)
1,1.658
2,3.749
3,7.075
4,3.288
5,4.510
6,3.193
7,1.331
8,0.861